Computed, not measured: crystalline Sm2Er5Tl at its relaxed geometry at the PBE-GGA level of DFT.

The calculation puts the energy relative to the lowest polymorph listed for this composition at 0.0000 eV/atom. The calculated volume comes out at 30.2 Å³ per atom. Its density of states at the Fermi level is 10.1 states/eV/f.u. Its formation energy is -43.7 kJ/mol of formula units. The uncorrected energy is -35.07 eV/f.u.

It has space group Pbam (No. 55), with a = 6.989 Å, b = 14.009 Å, c = 4.933 Å, α = 90.00°, β = 90.00° and γ = 90.00°. The distinct sites, in fractional coordinates, are Sm at (0.245, 0.129, 0.000), Er at (0.000, 0.000, 0.500), Er at (0.005, 0.256, 0.500), Er at (0.244, 0.876, 0.000) and Tl at (0.000, 0.500, 0.500).